# 1
{"formula": "Cs2TlAu", "functional": "PBE-GGA", "state": "optimized geometry", "lattice": [[4.542, 0.000, 0.000], [-2.271, 3.934, 0.000], [0.000, 0.000, 37.323]], "species": ["Cs", "Cs", "Cs", "Cs", "Cs", "Cs", "Tl", "Tl", "Tl", "Au", "Au", "Au"], "fractional_positions": [[0.000, 0.000, 0.104], [0.000, 0.000, 0.896], [0.333, 0.667, 0.563], [0.333, 0.667, 0.771], [0.667, 0.333, 0.229], [0.667, 0.333, 0.437], [0.000, 0.000, 0.000], [0.333, 0.667, 0.667], [0.667, 0.333, 0.333], [0.000, 0.000, 0.500], [0.333, 0.667, 0.167], [0.667, 0.333, 0.833]], "relative_energy_mev_per_atom": 152.3, "formation_energy_ev_per_atom": 0.04, "crystal_system": "trigonal", "dos_at_fermi_per_ev_atom": 1.0035, "dft_energy_ev_per_atom": -1.796}

***

# 2
{"formula": "ZrZnRh", "functional": "PBE-GGA", "state": "optimized geometry", "lattice": [[0.000, 6.244, 7.381], [2.432, 0.000, 7.381], [2.432, 6.244, 0.000]], "species": ["Zr", "Zr", "Zr", "Zr", "Zn", "Zn", "Zn", "Zn", "Rh", "Rh", "Rh", "Rh"], "fractional_positions": [[0.025, 0.739, 0.261], [0.261, 0.975, 0.025], [0.739, 0.025, 0.975], [0.975, 0.261, 0.739], [0.321, 0.679, 0.321], [0.412, 0.412, 0.588], [0.588, 0.588, 0.412], [0.679, 0.321, 0.679], [0.148, 0.469, 0.531], [0.469, 0.148, 0.852], [0.531, 0.852, 0.148], [0.852, 0.531, 0.469]], "formation_energy_ev_per_atom": -0.31, "crystal_system": "orthorhombic", "dos_at_fermi_per_ev_atom": 0.6688, "dft_energy_ev_per_atom": -6.036}